VASP calculation (PBE) on crystalline Pr4GeRh4 at its relaxed geometry.

Cell and atoms, written as CIF:
```
data_Pr4GeRh4
_chemical_formula_sum 'Pr8 Ge2 Rh8'
_space_group_name_H-M_alt 'P 42/n'
_space_group_IT_number 86
_cell_length_a 8.654
_cell_length_b 8.654
_cell_length_c 5.723
_cell_angle_alpha 90.00
_cell_angle_beta 90.00
_cell_angle_gamma 90.00
loop_
_space_group_symop_operation_xyz
'x,y,z'
'-x,-y,-z'
'-y,x+1/2,z+1/2'
'y,-x+1/2,-z+1/2'
'-x+1/2,-y+1/2,z'
'x+1/2,y+1/2,-z'
'y+1/2,-x,z+1/2'
'-y+1/2,x,-z+1/2'
loop_
_atom_site_label
_atom_site_fract_x
_atom_site_fract_y
_atom_site_fract_z
_atom_site_occupancy
Pr1 0.035 0.688 0.104 1
Ge1 0.250 0.250 0.250 1
Rh1 0.014 0.356 0.404 1
```

Output
Its density of states at the Fermi level is 0.770 states/eV per atom. As for the formation enthalpy at 0 K: -0.626 eV per atom. The value obtained for the total energy is -117.5 eV per cell.